Material: Cs3BaCd2F9
Method: DFT, PBE
State: relaxed

```
Cs3BaCd2F9
1.0
-0.354 -6.327 -2.004
5.306 3.687 -1.556
3.775 -2.450 7.068
Ba Cd F Cs
1 2 9 3
Direct
0.000 0.000 0.500
0.667 0.333 0.845
0.333 0.667 0.155
0.826 0.174 0.690
0.349 0.174 0.690
0.651 0.826 0.310
0.500 0.000 0.000
0.174 0.826 0.310
0.174 0.349 0.310
0.826 0.651 0.690
0.000 0.500 0.000
0.500 0.500 0.000
0.333 0.667 0.696
0.667 0.333 0.304
0.000 0.000 0.000
```

Summary:
Magnetic moment ... 0.00 Bohr magnetons per cell
Electronic total energy ... -64.4 eV/cell

---

Material: CsBa2CdF8
Method: DFT, PBE
State: relaxed

```
CsBa2CdF8
1.0
-1.848 -1.415 -3.819
3.205 -5.002 1.083
-6.903 -3.425 4.609
Ba F Cs Cd
2 8 1 1
Direct
0.500 0.500 0.769
0.500 0.500 0.231
0.566 0.777 0.000
0.959 0.242 0.802
0.572 0.308 0.500
0.434 0.223 0.000
0.041 0.758 0.198
0.959 0.242 0.198
0.428 0.692 0.500
0.041 0.758 0.802
0.000 0.000 0.500
0.000 0.000 0.000
```

Summary:
Magnetic moment ... 1.14 Bohr magnetons per cell
Electronic total energy ... -55.4 eV/cell

---

Material: CsBaCd2H6
Method: DFT, PBE
State: relaxed

```
CsBaCd2H6
1.0
-5.996 -4.696 0.191
4.250 -2.085 -5.969
3.908 -2.826 5.302
H Cd Cs Ba
12 4 2 2
Direct
0.062 0.599 0.785
0.319 0.472 0.377
0.938 0.401 0.215
0.528 0.681 0.123
0.681 0.528 0.623
0.850 0.809 0.435
0.401 0.938 0.715
0.599 0.062 0.285
0.809 0.850 0.935
0.191 0.150 0.065
0.472 0.319 0.877
0.150 0.191 0.565
0.256 0.091 0.785
0.091 0.256 0.285
0.744 0.909 0.215
0.909 0.744 0.715
0.802 0.198 0.750
0.198 0.802 0.250
0.600 0.400 0.250
0.400 0.600 0.750
```

Summary:
Magnetic moment ... 0.00 Bohr magnetons per cell
Electronic total energy ... -51.5 eV/cell

---

Material: CsBaCdI5
Method: DFT, PBE
State: relaxed

```
CsBaCdI5
1.0
9.218 0.064 -0.090
-2.630 8.835 -0.090
-2.853 -3.853 11.104
I Cd Ba Cs
10 2 2 2
Direct
0.256 0.396 0.560
0.396 0.256 0.060
0.604 0.744 0.940
0.338 0.911 0.629
0.744 0.604 0.440
0.101 0.899 0.250
0.911 0.338 0.129
0.899 0.101 0.750
0.662 0.089 0.371
0.089 0.662 0.871
0.684 0.316 0.250
0.316 0.684 0.750
0.000 0.000 0.000
0.000 0.000 0.500
0.356 0.644 0.250
0.644 0.356 0.750
```

Summary:
Magnetic moment ... 0.00 Bohr magnetons per cell
Electronic total energy ... -43.2 eV/cell

---

Material: CsBa2CdIr
Method: DFT, PBE
State: relaxed

```
CsBa2CdIr
1.0
-5.255 2.169 2.326
-1.322 -5.576 2.212
2.639 1.270 4.778
Ba Cd Ir Cs
2 1 1 1
Direct
0.000 0.500 0.000
0.500 0.000 0.000
0.000 0.000 0.500
0.000 0.000 0.000
0.500 0.500 0.500
```

Summary:
Magnetic moment ... 0.00 Bohr magnetons per cell
Energy of formation from the pure elements ... 4 meV per atom

---

Material: CsK2BaCd
Method: DFT, PBE
State: relaxed

```
CsK2BaCd
1.0
-1.965 -2.657 6.316
6.377 1.696 2.697
-2.404 6.130 1.830
Cs Ba Cd K
1 1 1 2
Direct
0.500 0.500 0.500
0.000 0.000 0.500
0.000 0.000 0.000
0.000 0.500 0.000
0.500 0.000 0.000
```

Summary:
Magnetic moment ... 0.00 Bohr magnetons per cell
Energy of formation from the pure elements ... 35 meV per atom

---

Material: CsBa2LiCd
Method: DFT, PBE
State: relaxed

```
CsBa2LiCd
1.0
-6.358 1.001 -2.484
1.047 -4.960 -4.679
-2.063 -3.925 3.700
Cd Ba Cs Li
1 2 1 1
Direct
0.000 0.000 0.000
0.000 0.500 0.000
0.500 0.000 0.000
0.500 0.500 0.500
0.000 0.000 0.500
```

Summary:
Magnetic moment ... 0.38 Bohr magnetons per cell
Energy of formation from the pure elements ... 64 meV per atom

---

Material: CsBaCdNi2
Method: DFT, PBE
State: relaxed

```
CsBaCdNi2
1.0
5.164 0.000 0.000
0.000 5.926 0.000
0.000 0.000 5.164
Ni Ba Cs Cd
2 1 1 1
Direct
0.000 0.000 0.500
0.500 0.000 0.000
0.500 0.500 0.500
0.000 0.500 0.000
0.000 0.000 0.000
```

Summary:
Magnetic moment ... 0.44 Bohr magnetons per cell
Energy of formation from the pure elements ... 784 meV per atom

---

Material: CsBaCd2Ni
Method: DFT, PBE
State: relaxed

```
CsBaCd2Ni
1.0
-5.404 -0.121 0.393
0.408 -2.202 4.935
0.051 5.138 2.289
Cd Ba Cs Ni
2 1 1 1
Direct
0.500 0.000 0.000
0.000 0.500 0.000
0.000 0.000 0.500
0.500 0.500 0.500
0.000 0.000 0.000
```

Summary:
Magnetic moment ... 0.00 Bohr magnetons per cell
Energy of formation from the pure elements ... 13 meV per atom

---

Material: CsBaCdO2
Method: DFT, PBE
State: relaxed

```
CsBaCdO2
1.0
-4.504 2.936 4.064
-6.146 -3.808 -4.059
-1.900 -7.013 2.961
O Cs Cd Ba
4 2 2 2
Direct
0.277 0.881 0.554
0.723 0.881 0.054
0.277 0.119 0.946
0.723 0.119 0.446
0.796 0.500 0.250
0.204 0.500 0.750
0.000 0.000 0.500
0.000 0.000 0.000
0.496 0.000 0.250
0.504 0.000 0.750
```

Summary:
Magnetic moment ... 0.00 Bohr magnetons per cell
Electronic total energy ... -40.4 eV/cell

---

Material: CsBa2Cd2Pb2
Method: DFT, PBE
State: relaxed

```
CsBa2Cd2Pb2
1.0
-1.833 -2.465 4.469
3.186 -3.474 2.681
4.596 6.924 8.995
Pb Ba Cd Cs
2 2 2 1
Direct
0.247 0.247 0.258
0.753 0.753 0.742
0.869 0.869 0.392
0.131 0.131 0.608
0.584 0.584 0.247
0.416 0.416 0.753
0.000 0.000 0.000
```

Summary:
Magnetic moment ... 0.52 Bohr magnetons per cell
Energy of formation from the pure elements ... -287 meV per atom

---

Material: CsBaCd2Pd
Method: DFT, PBE
State: relaxed

```
CsBaCd2Pd
1.0
-0.611 -2.164 -5.111
-1.335 -4.933 2.248
-5.620 1.532 0.023
Ba Cd Cs Pd
1 2 1 1
Direct
0.000 0.000 0.500
0.500 0.000 0.000
0.000 0.500 0.000
0.500 0.500 0.500
0.000 0.000 0.000
```

Summary:
Magnetic moment ... 0.00 Bohr magnetons per cell
Energy of formation from the pure elements ... -198 meV per atom